Entry 1:
# Cd2GePb2 (PBE, relaxed)
data_Cd2GePb2
_cell_length_a 4.0011
_cell_length_b 4.0011
_cell_length_c 17.4654
_cell_angle_alpha 90.00
_cell_angle_beta 90.00
_cell_angle_gamma 90.00
_symmetry_space_group_name_H-M 'P 1'
_symmetry_Int_Tables_number 1
loop_
_symmetry_equiv_pos_as_xyz
'x,y,z'
loop_
_atom_site_label
_atom_site_type_symbol
_atom_site_fract_x
_atom_site_fract_y
_atom_site_fract_z
_atom_site_occupancy
Cd1 Cd 0.0000 0.5000 0.2500 1
Cd2 Cd 0.0000 0.5000 0.7500 1
Cd3 Cd 0.5000 0.0000 0.2500 1
Cd4 Cd 0.5000 0.0000 0.7500 1
Ge1 Ge 0.0000 0.0000 0.0000 1
Ge2 Ge 0.5000 0.5000 0.5000 1
Pb1 Pb 0.0000 0.0000 0.4075 1
Pb2 Pb 0.0000 0.0000 0.5925 1
Pb3 Pb 0.5000 0.5000 0.0925 1
Pb4 Pb 0.5000 0.5000 0.9075 1
# offset from the most stable computed form = 63.0 meV/atom
# DOS at the Fermi energy = 0.46 states/eV per atom
# space-group type = I4/mmm
# size of the total moment = 0.0 Bohr magnetons per cell


Entry 2:
# Pr6Tm12Mg (PBE, relaxed)
data_Pr6Tm12Mg
_cell_length_a 8.6585
_cell_length_b 8.6585
_cell_length_c 8.6585
_cell_angle_alpha 97.74
_cell_angle_beta 97.74
_cell_angle_gamma 97.74
_symmetry_space_group_name_H-M 'P 1'
_symmetry_Int_Tables_number 1
loop_
_symmetry_equiv_pos_as_xyz
'x,y,z'
loop_
_atom_site_label
_atom_site_type_symbol
_atom_site_fract_x
_atom_site_fract_y
_atom_site_fract_z
_atom_site_occupancy
Pr1 Pr 0.0898 0.3646 0.3646 1
Pr2 Pr 0.3646 0.0898 0.3646 1
Pr3 Pr 0.3646 0.3646 0.0898 1
Pr4 Pr 0.6354 0.6354 0.9102 1
Pr5 Pr 0.6354 0.9102 0.6354 1
Pr6 Pr 0.9102 0.6354 0.6354 1
Tm1 Tm 0.0964 0.0964 0.6652 1
Tm2 Tm 0.0964 0.6652 0.0964 1
Tm3 Tm 0.2387 0.5000 0.7613 1
Tm4 Tm 0.2387 0.7613 0.5000 1
Tm5 Tm 0.3348 0.9036 0.9036 1
Tm6 Tm 0.5000 0.2387 0.7613 1
Tm7 Tm 0.5000 0.7613 0.2387 1
Tm8 Tm 0.6652 0.0964 0.0964 1
Tm9 Tm 0.7613 0.2387 0.5000 1
Tm10 Tm 0.7613 0.5000 0.2387 1
Tm11 Tm 0.9036 0.3348 0.9036 1
Tm12 Tm 0.9036 0.9036 0.3348 1
Mg1 Mg 0.5000 0.5000 0.5000 1
# DOS at the Fermi energy = 1.47 states/eV per atom
# space-group type = R-3m
# size of the total moment = 0.0 Bohr magnetons per cell
# final energy = -0.158 Ha/atom


Entry 3:
# SnIrSeI2 (PBE, relaxed)
data_SnIrSeI2
_cell_length_a 6.0352
_cell_length_b 6.0352
_cell_length_c 4.5255
_cell_angle_alpha 90.00
_cell_angle_beta 90.00
_cell_angle_gamma 90.00
_symmetry_space_group_name_H-M 'P 1'
_symmetry_Int_Tables_number 1
loop_
_symmetry_equiv_pos_as_xyz
'x,y,z'
loop_
_atom_site_label
_atom_site_type_symbol
_atom_site_fract_x
_atom_site_fract_y
_atom_site_fract_z
_atom_site_occupancy
Sn1 Sn 0.0000 0.0000 0.0000 1
Ir1 Ir 0.5000 0.5000 0.0000 1
Se1 Se 0.5000 0.5000 0.5000 1
I1 I 0.0000 0.5000 0.5000 1
I2 I 0.5000 0.0000 0.5000 1
# DOS at the Fermi energy = 0.75 states/eV per atom
# space-group type = P4/mmm
# raw formation energy = 3.66 eV/f.u.
# size of the total moment = 0.0 Bohr magnetons per cell